1.
DyMgTlAu: optimized geometry, PBE.

Space group: F-43m (216)

Cell lengths 5.0458, 5.0458, 5.0458 Å; angles 60.00, 60.00, 60.00 degrees
With the nearest neighbours (Å) after each atom.
Fractional positions:
1 Dy 0.0000 0.0000 0.0000  4 Tl 3.09, 4 Au 3.09
2 Mg 0.5000 0.5000 0.5000  4 Tl 3.09, 4 Au 3.09
3 Tl 0.2500 0.2500 0.2500  4 Dy 3.09, 4 Mg 3.09
4 Au 0.7500 0.7500 0.7500  4 Dy 3.09, 4 Mg 3.09

=====

2.
DyTm2MgAu4: optimized geometry, PBE.

Space group: R-3m (166)

Cell lengths 8.6330, 8.6330, 8.6330 Å; angles 33.41, 33.41, 33.41 degrees
With the nearest neighbours (Å) after each atom.
Fractional positions:
1 Dy 0.0000 0.0000 0.0000  8 Au 3.01-3.04
2 Tm 0.2453 0.2453 0.2453  8 Au 2.98-3.16
3 Tm 0.7547 0.7547 0.7547  8 Au 2.98-3.16
4 Mg 0.5000 0.5000 0.5000  8 Au 3.05-3.06
5 Au 0.1233 0.1233 0.1233  4 Tm 2.98-2.99, 1 Dy 3.01, 3 Mg 3.05
6 Au 0.3748 0.3748 0.3748  3 Dy 3.04, 1 Mg 3.06, 4 Tm 3.08-3.16
7 Au 0.6252 0.6252 0.6252  3 Dy 3.04, 1 Mg 3.06, 4 Tm 3.08-3.16
8 Au 0.8767 0.8767 0.8767  4 Tm 2.98-2.99, 1 Dy 3.01, 3 Mg 3.05

=====

no.,E_tot (eV per atom),ρ (kg/m3)
1,-3.4613,10752
2,-4.3551,12549